1.
8
Lattice="4.991 0.000 0.000 0.000 7.473 0.000 0.000 0.000 2.984" Properties=species:S:1:pos:R:3 comment="SiTc (PBE-GGA, optimized geometry)" e_form_raw_ev_per_atom=-0.4830 sg="Immm (71)" pbc="T T T"
Si 3.771 0.000 0.000
Si 1.221 0.000 0.000
Si 1.275 3.737 1.492
Si 3.716 3.737 1.492
Tc 0.000 5.318 0.000
Tc 0.000 2.155 0.000
Tc 2.496 1.581 1.492
Tc 2.496 5.892 1.492


2.
3
Lattice="-4.069 -3.019 -0.817 -0.544 -4.470 -2.463 2.710 2.724 3.403" Properties=species:S:1:pos:R:3 comment="SiTc2 (PBE-GGA, optimized geometry)" e_form_raw_ev_per_atom=-0.4101 sg="I4/mmm (139)" pbc="T T T"
Si 0.000 0.000 0.000
Tc -3.035 -4.927 -2.158
Tc -1.579 -2.562 -1.122


3.
6
Lattice="-3.192 -3.459 0.991 -0.924 -4.704 -0.399 2.367 -1.921 5.581" Properties=species:S:1:pos:R:3 comment="SiTc2 (PBE-GGA, optimized geometry)" e_form_raw_ev_per_atom=-0.2963 sg="Cm (8)" pbc="T T T"
Si 2.170 -2.082 5.403
Si -0.321 -3.045 2.202
Tc -1.188 -6.854 4.197
Tc -1.748 -5.195 1.800
Tc -2.533 -8.937 3.868
Tc 1.031 -4.379 5.600